# 1
RbTl2Cl7: relaxed, PBE.

abc: 4.365 10.554 10.554
angles: 134.76 90.00 90.00
Fractional coordinates of all 10 atoms:
Rb  0.000  0.000  0.000
Tl  0.500  0.638  0.362
Tl  0.500  0.362  0.638
Cl  0.000  0.715  0.285
Cl  0.000  0.285  0.715
Cl  0.500  0.071  0.322
Cl  0.500  0.929  0.678
Cl  0.500  0.322  0.071
Cl  0.500  0.678  0.929
Cl  0.500  0.500  0.500

Computed properties:
Space group: Cmmm (65)
E_form (uncorrected) (eV per atom): -0.875
E (Ha/atom): -0.10060



# 2
HgOsSe: relaxed, PBE.

abc: 3.409 3.409 6.427
angles: 90.00 90.00 120.00
Fractional coordinates of all 3 atoms:
Hg  0.000  0.000  0.045
Os  0.667  0.333  0.371
Se  0.333  0.667  0.584

Computed properties:
Space group: P3m1 (156)
E_form (uncorrected) (eV per atom): 0.368
E (Ha/atom): -0.17041
Density of states at the Fermi level (states/eV/f.u.): 0.047
ΔE to the lowest computed polymorph (meV/atom): 0.0



# 3
SrLi3Zn8: relaxed, PBE.

abc: 5.328 5.328 8.717
angles: 90.00 90.00 120.00
Fractional coordinates of all 12 atoms:
Sr  0.000  0.000  0.562
Li  0.667  0.333  0.411
Li  0.667  0.333  0.064
Li  0.000  0.000  0.951
Zn  0.333  0.667  0.493
Zn  0.333  0.667  0.002
Zn  0.504  0.008  0.766
Zn  0.504  0.496  0.766
Zn  0.992  0.496  0.766
Zn  0.164  0.328  0.240
Zn  0.164  0.836  0.240
Zn  0.672  0.836  0.240

Computed properties:
Calculated formation energy (kJ per mole of atoms): -16.0
Space group: P3m1 (156)
E (Ha/atom): -0.06002
Density of states at the Fermi level (states/eV/f.u.): 3.372
ΔE to the lowest computed polymorph (meV/atom): 0.0



# 4
MgTiSbTe2: relaxed, PBE.

abc: 5.411 5.411 5.231
angles: 90.00 90.00 90.00
Each line ends with the local moment (μB).
Fractional coordinates of all 5 atoms:
Sb  0.000  0.000  0.500  0.02
Mg  0.000  0.000  0.000  0.00
Te  0.000  0.500  0.000  -0.05
Te  0.500  0.000  0.000  -0.05
Ti  0.500  0.500  0.500  0.13

Computed properties:
Space group: P4/mmm (123)
E_form (uncorrected) (eV per atom): 0.652
E (Ha/atom): -0.12228
Density of states at the Fermi level (states/eV/f.u.): 10.755
ΔE to the lowest computed polymorph (meV/atom): 669.8